MnCrHO2: relaxed, PBE with a Hubbard U. Values from VASP.

Calculated values
offset from the most stable computed form	224	meV per atom
V	13.692	Å³ per atom
total magnetic moment	1.891	μB per atom
raw total energy	-6.6362	eV/atom
theoretical density	3.4	g/cm³

```
&SYSTEM
  ibrav = 0, nat = 5, ntyp = 4
/
ATOMIC_SPECIES
Mn 54.94 Mn.upf
Cr 52.00 Cr.upf
H 1.01 H.upf
O 16.00 O.upf
CELL_PARAMETERS angstrom
3.4377 0.0000 0.0000
0.1378 3.5657 0.0000
0.8530 1.4658 5.5850
ATOMIC_POSITIONS angstrom
Mn 0.0000 0.0000 0.0000
Cr 1.6211 1.6911 2.3344
H 2.8137 3.8548 4.0265
O 2.5793 1.2557 4.2187
O 3.5395 1.7757 1.0029
```